Record 1
A plane-wave DFT calculation with GGA-PBE was carried out for crystalline InGaSCl2 at its relaxed geometry.

Structure (CIF):
```
data_InGaSCl2
_cell_length_a 5.009
_cell_length_b 5.009
_cell_length_c 4.830
_cell_angle_alpha 90.00
_cell_angle_beta 90.00
_cell_angle_gamma 90.00
_space_group_name_H-M_alt 'P 4/m m m'
_space_group_IT_number 123
_space_group_name_Hall '-P 4 2'
loop_
_atom_site_label
_atom_site_type_symbol
_atom_site_fract_x
_atom_site_fract_y
_atom_site_fract_z
In1 In 0.000 0.000 0.000
Ga1 Ga 0.500 0.500 0.500
S1 S 0.500 0.500 0.000
Cl1 Cl 0.000 0.500 0.500
```

Properties
Offset from the most stable computed form in meV per atom: 0.0
Formation energy from raw total energies in kJ/mol of formula units: -273



Record 2
A plane-wave DFT calculation with GGA-PBE was carried out for crystalline NbCd2Au2 at its relaxed geometry.

Structure (CIF):
```
data_NbCd2Au2
_cell_length_a 7.822
_cell_length_b 7.822
_cell_length_c 3.213
_cell_angle_alpha 90.00
_cell_angle_beta 90.00
_cell_angle_gamma 90.00
_space_group_name_H-M_alt 'P 4/m b m'
_space_group_IT_number 127
_space_group_name_Hall '-P 4 2ab'
loop_
_atom_site_label
_atom_site_type_symbol
_atom_site_fract_x
_atom_site_fract_y
_atom_site_fract_z
Nb1 Nb 0.000 0.000 0.000
Cd1 Cd 0.168 0.332 0.500
Au1 Au 0.133 0.633 0.000
```

Properties
Calculated formation energy in meV per atom: 162



| no. | Fermi-level density of states (states/eV per atom) |
| --- | --- |
| 1 | 0.37 |
| 2 | 0.79 |